LaAsW2 | PBE | optimized geometry

Cell: 3.367 4.208 6.120 Å, 90.00 95.81 90.00°
Positions (direct):
La: 0.000 0.000 0.000
As: 0.460 0.500 0.768
W: 0.411 0.000 0.486
W: 0.904 0.500 0.447

Calculated values
E   -8.788 eV per atom
Magnetization   0.0 μB per formula unit
Energy of formation from the pure elements   0.08 eV/atom